No. 1
Here is crystalline Pr6Nd2Er3 at its relaxed geometry from the Alexandria database. Energies are from PBE-GGA.

Computed properties:
Polymorph energy (0 for the lowest one): 0.4585 eV per atom
Spin magnetization: 0.0 Bohr magnetons per cell
Symmetry: I4/mmm
Energy of formation: 0.476 eV/atom

```
Pr6Nd2Er3
1.0
5.775 0.000 0.000
0.000 5.775 0.000
-2.887 -2.887 12.413
Er Pr Nd
3 6 2
Cartesian
0.000 0.000 4.012 Er
2.887 2.887 8.401 Er
0.000 0.000 0.000 Er
2.887 0.000 2.403 Pr
0.000 2.887 10.010 Pr
0.000 2.887 2.403 Pr
2.887 0.000 10.010 Pr
2.887 2.887 4.995 Pr
0.000 0.000 7.418 Pr
2.887 2.887 1.461 Nd
0.000 0.000 10.952 Nd
```



No. 2
Here is crystalline K3SrCe2Se6 at its relaxed geometry from the Alexandria database. Energies are from PBE-GGA.

Computed properties:
Energy relative to the elements, uncorrected: -20.4 eV/f.u.
Spin magnetization: 1.0 Bohr magnetons per cell
Symmetry: C2/m

```
K3SrCe2Se6
1.0
-5.854 -3.789 3.068
6.427 0.951 3.978
-2.931 7.498 0.501
Se K Ce Sr
6 3 2 1
Cartesian
-4.048 2.957 5.549 Se
-0.201 -0.469 5.164 Se
0.276 4.625 5.869 Se
1.690 1.704 1.999 Se
-2.156 5.130 2.384 Se
-2.634 0.035 1.679 Se
2.960 3.928 4.080 K
-1.179 2.330 3.774 K
-5.318 0.733 3.467 K
-1.765 -2.211 3.371 Ce
2.338 -0.627 3.675 Ce
0.000 0.000 0.000 Sr
```



No. 3
Here is crystalline K3Ce3HgO8 at its relaxed geometry from the Alexandria database. Energies are from PBE-GGA.

Computed properties:
Energy relative to the elements, uncorrected: -35.4 eV/f.u.
Spin magnetization: 1.1 Bohr magnetons per cell
Symmetry: C2/m

```
K3Ce3HgO8
1.0
7.155 0.000 0.000
-3.577 6.190 -0.023
0.000 -4.107 6.278
O Ce K Hg
8 3 3 1
Cartesian
1.909 -0.957 1.992 O
3.577 0.015 4.311 O
-1.668 3.040 4.263 O
1.668 3.040 4.263 O
0.000 2.068 1.944 O
3.577 1.939 1.984 O
0.000 0.144 4.271 O
5.246 -0.957 1.992 O
3.577 -2.053 3.139 Ce
-1.789 1.041 3.128 Ce
1.789 1.041 3.128 Ce
-1.789 3.095 -0.012 K
1.789 3.095 -0.012 K
0.000 0.000 0.000 K
0.000 -2.053 3.139 Hg
```



No. 4
Here is crystalline NaAcTlO3 at its relaxed geometry from the Alexandria database. Energies are from PBE-GGA.

Computed properties:
Energy relative to the elements, uncorrected: -10.8 eV/f.u.
Spin magnetization: 0.0 Bohr magnetons per cell
Symmetry: P2_1/m

```
NaAcTlO3
1.0
3.575 0.000 0.000
0.000 6.694 0.255
0.000 -3.207 8.615
Ac Tl O Na
2 2 6 2
Cartesian
2.682 2.918 7.157 Ac
0.894 0.569 1.713 Ac
0.894 -0.411 5.292 Tl
2.682 3.898 3.578 Tl
0.894 -2.257 7.855 O
0.894 3.663 5.125 O
2.682 5.745 1.015 O
2.682 2.424 1.667 O
2.682 -0.175 3.745 O
0.894 1.063 7.203 O
0.894 4.073 0.953 Na
2.682 -0.586 7.917 Na
```



No. 5
Here is crystalline Ti2CoPt9 at its relaxed geometry from the Alexandria database. Energies are from PBE-GGA.

Computed properties:
Spin magnetization: 3.4 Bohr magnetons per cell
Symmetry: P4/mmm
Energy of formation: -0.611 eV/atom

```
Ti2CoPt9
1.0
-0.267 -3.879 -0.555
3.727 -0.423 1.164
-3.631 -1.343 11.138
Pt Ti Co
9 2 1
Cartesian
-1.162 -1.331 9.865 Pt
0.520 -2.599 4.018 Pt
-3.159 -3.059 9.005 Pt
-0.738 -2.163 1.578 Pt
-0.690 -3.046 7.729 Pt
0.048 -0.883 6.151 Pt
1.259 -0.435 2.438 Pt
-1.949 -2.611 5.292 Pt
1.730 -2.151 0.305 Pt
-1.190 -0.440 3.651 Ti
-2.441 -0.903 7.488 Ti
0.000 0.000 0.000 Co
```



No. 6
Here is crystalline Li2Mg3CdIn3 at its relaxed geometry from the Alexandria database. Energies are from PBE-GGA.

Computed properties:
Spin magnetization: 0.0 Bohr magnetons per cell
Symmetry: P-62m
Energy of formation: -0.150 eV/atom

```
Li2Mg3CdIn3
1.0
3.186 0.000 0.000
0.000 8.394 0.000
0.000 -4.197 7.269
Mg In Li Cd
3 3 2 1
Cartesian
1.593 1.264 2.189 Mg
1.593 5.867 0.000 Mg
1.593 -2.933 5.081 Mg
0.000 2.642 4.577 In
0.000 3.109 0.000 In
0.000 -1.554 2.692 In
1.593 4.197 2.423 Li
1.593 0.000 4.846 Li
0.000 0.000 0.000 Cd
```



No. 7
Here is crystalline Mg2Ni5As3H2 at its relaxed geometry from the Alexandria database. Energies are from PBE-GGA.

Computed properties:
Spin magnetization: 0.0 Bohr magnetons per cell
Symmetry: I4/mmm
Final energy: -55.7 eV for the cell shown

```
Mg2Ni5As3H2
1.0
3.788 0.000 0.000
0.000 3.788 0.000
-1.894 -1.894 10.122
H Mg As Ni
2 2 3 5
Cartesian
1.894 1.894 1.670 H
0.000 0.000 8.452 H
1.894 1.894 3.975 Mg
0.000 0.000 6.147 Mg
1.894 1.894 6.694 As
0.000 0.000 0.000 As
0.000 0.000 3.428 As
0.000 1.894 8.271 Ni
1.894 0.000 1.852 Ni
1.894 1.894 0.000 Ni
0.000 1.894 1.852 Ni
1.894 0.000 8.271 Ni
```



No. 8
Here is crystalline LiAcLu2 at its relaxed geometry from the Alexandria database. Energies are from PBE-GGA.

Computed properties:
Polymorph energy (0 for the lowest one): 0.0770 eV per atom
Spin magnetization: 0.2 Bohr magnetons per cell
Symmetry: P4/mmm
Energy of formation: 0.209 eV/atom

```
LiAcLu2
1.0
5.446 0.000 0.000
0.000 4.815 0.000
0.000 0.000 4.815
Lu Li Ac
2 1 1
Cartesian
0.000 0.000 2.408 Lu
0.000 2.408 0.000 Lu
2.723 0.000 0.000 Li
2.723 2.408 2.408 Ac
```